The following is a GGA-PBE calculation of an optimized crystal structure of Zn2FeCl, from the Alexandria database.

Unit cell a=2.9243 b=2.9243 c=7.5503 alpha=90.00 beta=90.00 gamma=102.56
Site moments in Bohr magnetons follow the coordinates.
Element x y z (fractional)
1 Zn 0.0000 0.0000 0.5222  -0.04
2 Zn 0.0000 0.0000 0.9778  -0.04
3 Cl 0.5000 0.5000 0.2500  0.00
4 Fe 0.5000 0.5000 0.7500  2.35

Calculated values
Energy above the most stable polymorph in this dataset, meV/atom: 91
Formation energy from raw total energies, eV per atom: 0.078
ρ, g/cm3: 5.85
Symmetry: Cmmm, No. 65